A relaxed structure of Rb4FeO4. Source: Alexandria, functional GGA+U.

Properties
As for the polymorph energy (0 for the lowest one): 90 meV/atom. The space group is I-42m, No. 121. As for the total energy: -40.1 eV per formula unit. The density of states at the Fermi level is 6.86 states/eV/f.u.

```
Rb4FeO4
1.0
6.681 0.000 0.000
0.000 6.681 0.000
-3.341 -3.341 5.820
Rb O Fe
4 4 1
Direct
0.000 0.500 0.000
0.289 0.289 0.578
0.500 0.000 0.000
0.711 0.711 0.422
0.941 0.253 0.194
0.059 0.059 0.806
0.253 0.941 0.194
0.747 0.747 0.806
0.000 0.000 0.000
```